First-principles (PBE-GGA) data for a geometry-optimized Nd3GaSi2Pt9 structure, as listed in Alexandria.

Cell and atoms, written as POSCAR:
```
Nd3GaSi2Pt9
1.0
6.367 0.000 0.000
-3.184 5.514 0.000
0.000 0.000 9.037
Pt Nd Ga Si
9 3 1 2
direct
0.144 0.856 0.283 Pt
0.712 0.856 0.283 Pt
0.144 0.288 0.283 Pt
0.500 0.000 0.000 Pt
0.000 0.500 0.000 Pt
0.856 0.712 0.717 Pt
0.856 0.144 0.717 Pt
0.500 0.500 0.000 Pt
0.288 0.144 0.717 Pt
0.667 0.333 0.298 Nd
0.333 0.667 0.702 Nd
0.000 0.000 0.000 Nd
0.000 0.000 0.500 Ga
0.333 0.667 0.181 Si
0.667 0.333 0.819 Si
```

formation energy (no corrections): -11.36 eV/f.u.
space-group type: P-3m1
N(E_F): 0.433 states/eV per atom